This record from Alexandria via LeMat-Bulk describes crystalline Ca2H4Pd at its relaxed geometry. The functional is PBE.

## Properties
Polymorph energy (0 for the lowest one) = 0.044 eV per atom
Symmetry = P2_1/m
Calculated density = 3.32 g cm⁻³

a b c (Å): 5.310 5.080 7.260
angles (deg): 90.00 102.90 90.00
Element x y z (fractional)
Ca (0.246, 0.250, 0.037)
Ca (0.253, 0.250, 0.556)
Ca (0.747, 0.750, 0.444)
Ca (0.754, 0.750, 0.963)
H (0.021, 0.514, 0.271)
H (0.021, 0.986, 0.271)
H (0.322, 0.750, 0.023)
H (0.436, 0.750, 0.641)
H (0.564, 0.250, 0.359)
H (0.678, 0.250, 0.977)
H (0.979, 0.014, 0.729)
H (0.979, 0.486, 0.729)
Pd (0.196, 0.750, 0.775)
Pd (0.804, 0.250, 0.225)